A relaxed Rb2BeCrF6 crystal, computed with PBE+U.

N(E_F) in states/eV/cell: 0.0
E in eV/atom: -5.195

Cell and atoms, written as POSCAR:
```
Rb2BeCrF6
1.0
-2.809 2.809 4.536
2.809 -2.809 4.536
2.809 2.809 -4.536
Rb Be Cr F
2 1 1 6
direct
0.250 0.750 0.500 Rb
0.750 0.250 0.500 Rb
0.000 0.000 0.000 Be
0.500 0.500 0.000 Cr
0.212 0.212 0.425 F
0.212 0.788 0.000 F
0.281 0.281 0.000 F
0.719 0.719 0.000 F
0.788 0.212 0.000 F
0.788 0.788 0.575 F
```